Entry 1:
VASP calculation (PBE) on a relaxed structure of TcGe2RhS.

Computed properties:
**Fermi-level density of states**: 5.75 states/eV/cell

a = 4.707 Å, b = 4.707 Å, c = 4.265 Å
α = 90.00°, β = 90.00°, γ = 90.00°
Fractional coordinates of all 5 atoms:
Tc (0.000, 0.000, 0.000)
Ge (0.000, 0.500, 0.500)
Ge (0.500, 0.000, 0.500)
Rh (0.500, 0.500, 0.000)
S (0.000, 0.000, 0.500)

=====

Entry 2:
VASP calculation (PBE) on a relaxed structure of Th4GeRhS2.

Computed properties:
**Fermi-level density of states**: 5.77 states/eV/cell

a = 7.155 Å, b = 4.094 Å, c = 7.357 Å
α = 90.00°, β = 109.14°, γ = 90.00°
Fractional coordinates of all 8 atoms:
Th (0.241, 0.000, 0.240)
Th (0.255, 0.500, 0.755)
Th (0.745, 0.500, 0.245)
Th (0.759, 0.000, 0.760)
Ge (0.000, 0.000, 0.500)
Rh (0.000, 0.500, 0.000)
S (0.500, 0.000, 0.000)
S (0.500, 0.500, 0.500)

=====

Entry 3:
VASP calculation (PBE) on a relaxed structure of Ti4GeRhS8.

Computed properties:
**Fermi-level density of states**: 6.16 states/eV/cell

a = 7.332 Å, b = 7.332 Å, c = 7.332 Å
α = 59.37°, β = 59.37°, γ = 59.37°
Fractional coordinates of all 14 atoms:
Ti (0.000, 0.000, 0.000)
Ti (0.135, 0.616, 0.616)
Ti (0.616, 0.135, 0.616)
Ti (0.616, 0.616, 0.135)
Ge (0.159, 0.159, 0.159)
Rh (0.680, 0.680, 0.680)
S (0.380, 0.891, 0.891)
S (0.381, 0.381, 0.381)
S (0.384, 0.384, 0.847)
S (0.384, 0.847, 0.384)
S (0.847, 0.384, 0.384)
S (0.867, 0.867, 0.867)
S (0.891, 0.380, 0.891)
S (0.891, 0.891, 0.380)

=====

Entry 4:
VASP calculation (PBE) on a relaxed structure of UGeRh4S8.

Computed properties:
**Fermi-level density of states**: 7.58 states/eV/cell

a = 7.119 Å, b = 7.119 Å, c = 7.119 Å
α = 62.05°, β = 62.05°, γ = 62.05°
Fractional coordinates of all 14 atoms:
U (0.000, 0.000, 0.000)
Ge (0.382, 0.382, 0.382)
Rh (0.004, 0.004, 0.518)
Rh (0.004, 0.518, 0.004)
Rh (0.518, 0.004, 0.004)
Rh (0.634, 0.634, 0.634)
S (0.241, 0.241, 0.241)
S (0.246, 0.749, 0.749)
S (0.260, 0.260, 0.789)
S (0.260, 0.789, 0.260)
S (0.749, 0.246, 0.749)
S (0.749, 0.749, 0.246)
S (0.768, 0.768, 0.768)
S (0.789, 0.260, 0.260)

=====

Entry 5:
VASP calculation (PBE) on a relaxed structure of GeSbRh.

Computed properties:
**E above lowest polymorph**: 154 meV per atom
**Fermi-level density of states**: 6.49 states/eV/cell

a = 6.247 Å, b = 6.247 Å, c = 6.247 Å
α = 90.00°, β = 90.00°, γ = 90.00°
Fractional coordinates of all 12 atoms:
Ge (0.123, 0.123, 0.123)
Ge (0.377, 0.877, 0.623)
Ge (0.623, 0.377, 0.877)
Ge (0.877, 0.623, 0.377)
Sb (0.137, 0.363, 0.637)
Sb (0.363, 0.637, 0.137)
Sb (0.637, 0.137, 0.363)
Sb (0.863, 0.863, 0.863)
Rh (0.020, 0.980, 0.480)
Rh (0.480, 0.020, 0.980)
Rh (0.520, 0.520, 0.520)
Rh (0.980, 0.480, 0.020)

=====

Entry 6:
VASP calculation (PBE) on a relaxed structure of GeSbRh.

Computed properties:
**E above lowest polymorph**: 69 meV per atom
**Fermi-level density of states**: 1.82 states/eV/cell

a = 4.406 Å, b = 4.406 Å, c = 4.406 Å
α = 60.00°, β = 60.00°, γ = 60.00°
Fractional coordinates of all 3 atoms:
Ge (0.000, 0.000, 0.000)
Sb (0.500, 0.500, 0.500)
Rh (0.750, 0.750, 0.750)

=====

Entry 7:
VASP calculation (PBE) on a relaxed structure of Ge3SbRh.

Computed properties:
**E above lowest polymorph**: 0 meV per atom
**Fermi-level density of states**: 1.04 states/eV/cell

a = 4.825 Å, b = 4.825 Å, c = 4.825 Å
α = 90.00°, β = 90.00°, γ = 90.00°
Fractional coordinates of all 5 atoms:
Ge (0.000, 0.000, 0.500)
Ge (0.000, 0.500, 0.000)
Ge (0.500, 0.000, 0.000)
Sb (0.500, 0.500, 0.500)
Rh (0.000, 0.000, 0.000)

=====

Entry 8:
VASP calculation (PBE) on a relaxed structure of GeSbRh.

Computed properties:
**E above lowest polymorph**: 0 meV per atom
**Fermi-level density of states**: 5.68 states/eV/cell

a = 6.511 Å, b = 6.384 Å, c = 6.463 Å
α = 90.00°, β = 114.88°, γ = 90.00°
Fractional coordinates of all 12 atoms:
Ge (0.143, 0.154, 0.322)
Ge (0.143, 0.346, 0.822)
Ge (0.857, 0.654, 0.178)
Ge (0.857, 0.846, 0.678)
Sb (0.355, 0.617, 0.637)
Sb (0.355, 0.883, 0.137)
Sb (0.645, 0.117, 0.863)
Sb (0.645, 0.383, 0.363)
Rh (0.217, 0.501, 0.199)
Rh (0.217, 0.999, 0.699)
Rh (0.783, 0.001, 0.301)
Rh (0.783, 0.499, 0.801)

=====

Entry 9:
VASP calculation (PBE) on a relaxed structure of GeSb2Rh8.

Computed properties:
**Fermi-level density of states**: 5.77 states/eV/cell

a = 7.318 Å, b = 7.318 Å, c = 7.318 Å
α = 148.55°, β = 119.24°, γ = 70.03°
Fractional coordinates of all 11 atoms:
Ge (0.000, 0.000, 0.000)
Sb (0.351, 0.351, 0.000)
Sb (0.649, 0.649, 0.000)
Rh (0.076, 0.833, 0.242)
Rh (0.174, 0.674, 0.500)
Rh (0.222, 0.500, 0.722)
Rh (0.409, 0.167, 0.242)
Rh (0.591, 0.833, 0.758)
Rh (0.778, 0.500, 0.278)
Rh (0.826, 0.326, 0.500)
Rh (0.924, 0.167, 0.758)

=====

Entry 10:
VASP calculation (PBE) on a relaxed structure of Ge2SbRh2.

Computed properties:
**E above lowest polymorph**: 145 meV per atom
**Fermi-level density of states**: 5.88 states/eV/cell

a = 7.696 Å, b = 7.696 Å, c = 2.914 Å
α = 90.00°, β = 90.00°, γ = 90.00°
Fractional coordinates of all 10 atoms:
Ge (0.143, 0.357, 0.000)
Ge (0.357, 0.857, 0.000)
Ge (0.643, 0.143, 0.000)
Ge (0.857, 0.643, 0.000)
Sb (0.000, 0.000, 0.000)
Sb (0.500, 0.500, 0.000)
Rh (0.141, 0.641, 0.500)
Rh (0.359, 0.141, 0.500)
Rh (0.641, 0.859, 0.500)
Rh (0.859, 0.359, 0.500)

=====

Entry 11:
VASP calculation (PBE) on a relaxed structure of GeSbRh4.

Computed properties:
**Fermi-level density of states**: 24.73 states/eV/cell

a = 6.470 Å, b = 3.949 Å, c = 14.806 Å
α = 90.00°, β = 90.00°, γ = 90.00°
Fractional coordinates of all 24 atoms:
Ge (0.227, 0.250, 0.195)
Ge (0.273, 0.750, 0.695)
Ge (0.727, 0.250, 0.305)
Ge (0.773, 0.750, 0.805)
Sb (0.218, 0.750, 0.448)
Sb (0.282, 0.250, 0.948)
Sb (0.718, 0.750, 0.052)
Sb (0.782, 0.250, 0.552)
Rh (0.011, 0.750, 0.929)
Rh (0.087, 0.250, 0.782)
Rh (0.093, 0.250, 0.344)
Rh (0.183, 0.250, 0.585)
Rh (0.317, 0.750, 0.085)
Rh (0.407, 0.750, 0.844)
Rh (0.413, 0.750, 0.282)
Rh (0.489, 0.250, 0.429)
Rh (0.511, 0.750, 0.571)
Rh (0.587, 0.250, 0.718)
Rh (0.593, 0.250, 0.156)
Rh (0.683, 0.250, 0.915)
Rh (0.817, 0.750, 0.415)
Rh (0.907, 0.750, 0.656)
Rh (0.913, 0.750, 0.218)
Rh (0.989, 0.250, 0.071)

=====

Entry 12:
VASP calculation (PBE) on a relaxed structure of Ge2SbRh2.

Computed properties:
**E above lowest polymorph**: 14 meV per atom
**Fermi-level density of states**: 2.57 states/eV/cell

a = 6.698 Å, b = 6.698 Å, c = 6.698 Å
α = 146.85°, β = 146.85°, γ = 47.59°
Fractional coordinates of all 5 atoms:
Ge (0.250, 0.750, 0.500)
Ge (0.750, 0.250, 0.500)
Sb (0.000, 0.000, 0.000)
Rh (0.380, 0.380, 0.000)
Rh (0.620, 0.620, 0.000)

=====

Entry 13:
VASP calculation (PBE) on a relaxed structure of Ge2SbRh.

Computed properties:
**Fermi-level density of states**: 5.87 states/eV/cell

a = 7.220 Å, b = 7.220 Å, c = 7.220 Å
α = 131.80°, β = 131.80°, γ = 70.55°
Fractional coordinates of all 8 atoms:
Ge (0.072, 0.625, 0.947)
Ge (0.375, 0.322, 0.447)
Ge (0.678, 0.125, 0.053)
Ge (0.875, 0.928, 0.553)
Sb (0.250, 0.750, 0.500)
Sb (0.500, 0.500, 0.000)
Rh (0.000, 0.000, 0.000)
Rh (0.750, 0.250, 0.500)

=====

Entry 14:
VASP calculation (PBE) on a relaxed structure of GeSb3Rh.

Computed properties:
**E above lowest polymorph**: 625 meV per atom
**Fermi-level density of states**: 3.59 states/eV/cell

a = 5.189 Å, b = 5.189 Å, c = 5.189 Å
α = 90.00°, β = 90.00°, γ = 90.00°
Fractional coordinates of all 5 atoms:
Ge (0.000, 0.000, 0.000)
Sb (0.000, 0.000, 0.500)
Sb (0.000, 0.500, 0.000)
Sb (0.500, 0.000, 0.000)
Rh (0.500, 0.500, 0.500)

=====

Entry 15:
VASP calculation (PBE) on a relaxed structure of Ge2SbRh2.

Computed properties:
**E above lowest polymorph**: 0 meV per atom
**Fermi-level density of states**: 6.85 states/eV/cell

a = 7.552 Å, b = 7.552 Å, c = 2.969 Å
α = 90.00°, β = 90.00°, γ = 90.00°
Fractional coordinates of all 10 atoms:
Ge (0.144, 0.356, 0.000)
Ge (0.356, 0.856, 0.000)
Ge (0.644, 0.144, 0.000)
Ge (0.856, 0.644, 0.000)
Sb (0.000, 0.000, 0.500)
Sb (0.500, 0.500, 0.500)
Rh (0.146, 0.646, 0.500)
Rh (0.354, 0.146, 0.500)
Rh (0.646, 0.854, 0.500)
Rh (0.854, 0.354, 0.500)

=====

Entry 16:
VASP calculation (PBE) on a relaxed structure of GeSb3Rh.

Computed properties:
**E above lowest polymorph**: 0 meV per atom
**Fermi-level density of states**: 6.19 states/eV/cell

a = 5.154 Å, b = 5.154 Å, c = 5.154 Å
α = 90.00°, β = 90.00°, γ = 90.00°
Fractional coordinates of all 5 atoms:
Ge (0.000, 0.000, 0.000)
Sb (0.000, 0.500, 0.500)
Sb (0.500, 0.000, 0.500)
Sb (0.500, 0.500, 0.000)
Rh (0.500, 0.500, 0.500)

=====

Entry 17:
VASP calculation (PBE) on a relaxed structure of Ge2Sb2Rh.

Computed properties:
**E above lowest polymorph**: 555 meV per atom
**Fermi-level density of states**: 3.67 states/eV/cell

a = 8.280 Å, b = 8.280 Å, c = 8.280 Å
α = 152.54°, β = 152.54°, γ = 39.23°
Fractional coordinates of all 5 atoms:
Ge (0.081, 0.081, 0.000)
Ge (0.919, 0.919, 0.000)
Sb (0.250, 0.750, 0.500)
Sb (0.750, 0.250, 0.500)
Rh (0.500, 0.500, 0.000)

=====

Entry 18:
VASP calculation (PBE) on a relaxed structure of Ge2Sb2Rh.

Computed properties:
**E above lowest polymorph**: 0 meV per atom
**Fermi-level density of states**: 5.38 states/eV/cell

a = 6.496 Å, b = 6.496 Å, c = 5.019 Å
α = 90.00°, β = 90.00°, γ = 90.00°
Fractional coordinates of all 10 atoms:
Ge (0.141, 0.359, 0.000)
Ge (0.359, 0.859, 0.000)
Ge (0.641, 0.141, 0.000)
Ge (0.859, 0.641, 0.000)
Sb (0.175, 0.675, 0.500)
Sb (0.325, 0.175, 0.500)
Sb (0.675, 0.825, 0.500)
Sb (0.825, 0.325, 0.500)
Rh (0.000, 0.000, 0.000)
Rh (0.500, 0.500, 0.000)

=====

Entry 19:
VASP calculation (PBE) on a relaxed structure of GeSbRh.

Computed properties:
**E above lowest polymorph**: 391 meV per atom
**Fermi-level density of states**: 2.90 states/eV/cell

a = 4.416 Å, b = 4.416 Å, c = 3.437 Å
α = 90.00°, β = 90.00°, γ = 120.00°
Fractional coordinates of all 3 atoms:
Ge (0.000, 0.000, 0.000)
Sb (0.333, 0.667, 0.500)
Rh (0.667, 0.333, 0.000)

=====

Entry 20:
VASP calculation (PBE) on a relaxed structure of GeSb2Rh2.

Computed properties:
**Fermi-level density of states**: 10.89 states/eV/cell

a = 7.798 Å, b = 7.798 Å, c = 3.134 Å
α = 90.00°, β = 90.00°, γ = 90.00°
Fractional coordinates of all 10 atoms:
Ge (0.000, 0.000, 0.000)
Ge (0.500, 0.500, 0.000)
Sb (0.158, 0.342, 0.500)
Sb (0.342, 0.842, 0.500)
Sb (0.658, 0.158, 0.500)
Sb (0.842, 0.658, 0.500)
Rh (0.136, 0.636, 0.000)
Rh (0.364, 0.136, 0.000)
Rh (0.636, 0.864, 0.000)
Rh (0.864, 0.364, 0.000)

=====

Entry 21:
VASP calculation (PBE) on a relaxed structure of Sm2Ge2SbRh5.

Computed properties:
**Fermi-level density of states**: 9.37 states/eV/cell

a = 9.929 Å, b = 9.929 Å, c = 3.652 Å
α = 90.00°, β = 90.00°, γ = 90.00°
Fractional coordinates of all 20 atoms:
Sm (0.177, 0.323, 0.000)
Sm (0.323, 0.823, 0.000)
Sm (0.677, 0.177, 0.000)
Sm (0.823, 0.677, 0.000)
Ge (0.121, 0.621, 0.000)
Ge (0.379, 0.121, 0.000)
Ge (0.621, 0.879, 0.000)
Ge (0.879, 0.379, 0.000)
Sb (0.000, 0.000, 0.000)
Sb (0.500, 0.500, 0.000)
Rh (0.000, 0.500, 0.500)
Rh (0.067, 0.787, 0.500)
Rh (0.213, 0.067, 0.500)
Rh (0.287, 0.567, 0.500)
Rh (0.433, 0.287, 0.500)
Rh (0.500, 0.000, 0.500)
Rh (0.567, 0.713, 0.500)
Rh (0.713, 0.433, 0.500)
Rh (0.787, 0.933, 0.500)
Rh (0.933, 0.213, 0.500)

=====

Entry 22:
VASP calculation (PBE) on a relaxed structure of Sm3GeSb2Rh9.

Computed properties:
**Fermi-level density of states**: 4.55 states/eV/cell

a = 6.683 Å, b = 6.683 Å, c = 8.644 Å
α = 90.00°, β = 90.00°, γ = 120.00°
Fractional coordinates of all 15 atoms:
Sm (0.000, 0.000, 0.000)
Sm (0.333, 0.667, 0.739)
Sm (0.667, 0.333, 0.261)
Ge (0.000, 0.000, 0.500)
Sb (0.333, 0.667, 0.201)
Sb (0.667, 0.333, 0.799)
Rh (0.000, 0.500, 0.000)
Rh (0.131, 0.263, 0.277)
Rh (0.131, 0.869, 0.277)
Rh (0.263, 0.131, 0.723)
Rh (0.500, 0.000, 0.000)
Rh (0.500, 0.500, 0.000)
Rh (0.737, 0.869, 0.277)
Rh (0.869, 0.131, 0.723)
Rh (0.869, 0.737, 0.723)

=====

Entry 23:
VASP calculation (PBE) on a relaxed structure of Sm2GeSb3Rh4.

Computed properties:
**Fermi-level density of states**: 7.15 states/eV/cell

a = 4.417 Å, b = 4.417 Å, c = 10.567 Å
α = 90.00°, β = 90.00°, γ = 90.00°
Fractional coordinates of all 10 atoms:
Sm (0.000, 0.500, 0.243)
Sm (0.500, 0.000, 0.757)
Ge (0.500, 0.500, 0.000)
Sb (0.000, 0.000, 0.000)
Sb (0.000, 0.500, 0.637)
Sb (0.500, 0.000, 0.363)
Rh (0.000, 0.000, 0.500)
Rh (0.000, 0.500, 0.879)
Rh (0.500, 0.000, 0.121)
Rh (0.500, 0.500, 0.500)

=====

For reference, ΔE_f (raw) by record: 927, -1281, -973, -564, -212, -297, 114, -366, -249, -101, -345, -232, 65, 1065, -246, 439, 674, 119, 26, -100, -754, -273, -803 meV/atom.